Record 1
The following is a PBE calculation of crystalline KTe2Au at its relaxed geometry, from Alexandria via LeMat-Bulk.

Results
ΔE_f (raw): 15 kJ/mol of formula units
total magnetic moment: 0.000 μB/f.u.
total energy: -42.0 eV for the cell shown

Unit cell a=7.7146 b=7.7146 c=7.7146 alpha=90.00 beta=90.00 gamma=90.00
Last column: nearest neighbours and their distance in Å.
Space group F-43m (No. 216)
One atom of each set of equivalent atoms:
K 0.0000 0.0000 0.0000 [4 per cell]  4 Te 3.34, 4 Au 3.34
Te 0.0000 0.0000 0.5000 [4 per cell]  4 Au 3.34, 4 Te 3.34
Te 0.2500 0.2500 0.2500 [4 per cell]  4 K 3.34, 4 Te 3.34
Au 0.2500 0.2500 0.7500 [4 per cell]  4 K 3.34, 4 Te 3.34

Record 2
The following is a PBE calculation of crystalline MnPbBr2 at its relaxed geometry, from Alexandria via LeMat-Bulk.

Results
ΔE_f (raw): -113 kJ/mol of formula units
total magnetic moment: 4.035 μB/f.u.
total energy: -34.8 eV for the cell shown

Unit cell a=12.8001 b=3.5702 c=5.7103 alpha=90.00 beta=108.66 gamma=90.00
Last column: nearest neighbours and their distance in Å.
Space group Cm (No. 8)
One atom of each set of equivalent atoms:
Mn 0.0000 0.0000 0.0000 [2 per cell]  4 Br 2.59-2.68
Pb 0.3189 0.0000 0.6573 [2 per cell]  2 Br 3.01-3.37, 2 Mn 3.08
Br 0.1408 0.5000 0.9666 [2 per cell]  2 Mn 2.59
Br 0.4356 0.0000 0.2762 [2 per cell]  2 Mn 2.68

Record 3
The following is a PBE calculation of crystalline PmNbFeGe2 at its relaxed geometry, from Alexandria via LeMat-Bulk.

Results
total magnetic moment: 2.037 μB/f.u.
energy of formation from the pure elements: -0.4751 eV per atom
total energy: -69.8 eV for the cell shown

Unit cell a=4.0474 b=4.0474 c=11.6389 alpha=90.00 beta=90.00 gamma=90.00
Last column: nearest neighbours and their distance in Å.
Space group I-4m2 (No. 119)
One atom of each set of equivalent atoms:
Pm 0.0000 0.0000 0.0000 [2 per cell]  8 Ge 3.15
Nb 0.0000 0.5000 0.7500 [2 per cell]  4 Ge 2.58, 4 Fe 2.86
Fe 0.0000 0.5000 0.2500 [2 per cell]  4 Ge 2.58, 4 Nb 2.86
Ge 0.0000 0.0000 0.3879 [4 per cell]  2 Nb 2.58, 2 Fe 2.58, 1 Ge 2.61

Record 4
The following is a PBE calculation of crystalline VIrBr2 at its relaxed geometry, from Alexandria via LeMat-Bulk.

Results
ΔE_f (raw): 314 kJ/mol of formula units
total magnetic moment: 1.985 μB/f.u.
total energy: -72.3 eV for the cell shown

Unit cell a=6.6012 b=6.6012 c=6.6012 alpha=90.00 beta=90.00 gamma=90.00
Last column: nearest neighbours and their distance in Å.
Space group Fm-3m (No. 225)
One atom of each set of equivalent atoms:
V 0.0000 0.0000 0.0000 [4 per cell]  8 Br 2.86
Ir 0.0000 0.0000 0.5000 [4 per cell]  8 Br 2.86
Br 0.2500 0.2500 0.2500 [8 per cell]  4 Ir 2.86, 4 V 2.86

Record 5
The following is a PBE calculation of crystalline Ti3PCl at its relaxed geometry, from Alexandria via LeMat-Bulk.

Results
ΔE_f (raw): 30 kJ/mol of formula units
total magnetic moment: 3.363 μB/f.u.
total energy: -30.6 eV for the cell shown

Unit cell a=4.6719 b=4.6719 c=4.6719 alpha=90.00 beta=90.00 gamma=90.00
Last column: nearest neighbours and their distance in Å.
Space group Pm-3m (No. 221)
One atom of each set of equivalent atoms:
Ti 0.0000 0.0000 0.5000 [3 per cell]  2 P 2.34
P 0.0000 0.0000 0.0000 [1 per cell]  6 Ti 2.34
Cl 0.5000 0.5000 0.5000 [1 per cell]  12 Ti 3.30

Record 6
The following is a PBE calculation of crystalline LiLa2Sn at its relaxed geometry, from Alexandria via LeMat-Bulk.

Results
total magnetic moment: 0.002 μB/f.u.
energy of formation from the pure elements: -0.4426 eV per atom
total energy: -35.1 eV for the cell shown

Unit cell a=6.7873 b=4.8196 c=7.6814 alpha=90.00 beta=107.48 gamma=90.00
Last column: nearest neighbours and their distance in Å.
Space group P2_1/m (No. 11)
One atom of each set of equivalent atoms:
Li 0.1089 0.2500 0.2102 [2 per cell]  3 Sn 2.86-3.11, 2 La 3.19
La 0.2747 0.7500 0.5706 [2 per cell]  3 Sn 3.33-3.37, 3 Li 3.50-3.59
La 0.3613 0.7500 0.1065 [2 per cell]  3 Li 3.19-3.38, 4 Sn 3.36-3.54
Sn 0.1237 0.2500 0.8095 [2 per cell]  3 Li 2.86-3.11

Record 7
The following is a PBE calculation of crystalline Ac2SeO8 at its relaxed geometry, from Alexandria via LeMat-Bulk.

Results
ΔE_f (raw): -1843 kJ/mol of formula units
total magnetic moment: 2.040 μB/f.u.
total energy: -140.9 eV for the cell shown

Unit cell a=10.1335 b=5.5997 c=6.1634 alpha=90.00 beta=114.80 gamma=90.00
Last column: nearest neighbours and their distance in Å.
Space group C2/m (No. 12)
One atom of each set of equivalent atoms:
Ac 0.2373 0.0000 0.2353 [4 per cell]  5 O 2.49-2.57
Se 0.0000 0.5000 0.0000 [2 per cell]  6 O 1.81-1.88
O 0.0620 0.0000 0.5040 [4 per cell]  1 O 1.24
O 0.0912 0.2732 0.9033 [8 per cell]  1 Se 1.81
O 0.1552 0.5000 0.3049 [4 per cell]  1 Se 1.88

Record 8
The following is a PBE calculation of crystalline CaHoTl4 at its relaxed geometry, from Alexandria via LeMat-Bulk.

Results
total magnetic moment: 0.000 μB/f.u.
energy of formation from the pure elements: -0.0568 eV per atom
total energy: -65.5 eV for the cell shown

Unit cell a=8.8930 b=8.8930 c=8.8930 alpha=90.00 beta=90.00 gamma=90.00
Last column: nearest neighbours and their distance in Å.
Space group F-43m (No. 216)
One atom of each set of equivalent atoms:
Ca 0.0000 0.0000 0.0000 [4 per cell]  12 Tl 3.69, 4 Ho 3.85
Ho 0.2500 0.2500 0.7500 [4 per cell]  12 Tl 3.69, 4 Ca 3.85
Tl 0.1247 0.1247 0.3753 [16 per cell]  6 Tl 3.14-3.15

Record 9
The following is a PBE calculation of crystalline RbCrH2 at its relaxed geometry, from Alexandria via LeMat-Bulk.

Results
total magnetic moment: 5.000 μB/f.u.
total energy: -65.7 eV for the cell shown

Unit cell a=5.9193 b=5.9193 c=8.0765 alpha=90.00 beta=90.00 gamma=90.00
Last column: nearest neighbours and their distance in Å.
Space group I-42d (No. 122)
One atom of each set of equivalent atoms:
Rb 0.0000 0.0000 0.0000 [4 per cell]  4 H 2.96
Cr 0.0000 0.0000 0.5000 [4 per cell]  4 H 1.89
H 0.1011 0.7500 0.6250 [8 per cell]  2 Cr 1.89

Record 10
The following is a PBE calculation of crystalline In2SbTe at its relaxed geometry, from Alexandria via LeMat-Bulk.

Results
ΔE_f (raw): 36 kJ/mol of formula units
total magnetic moment: 0.000 μB/f.u.
total energy: -12.4 eV for the cell shown

Unit cell a=3.4023 b=3.4023 c=10.2261 alpha=90.00 beta=90.00 gamma=90.00
Last column: nearest neighbours and their distance in Å.
Space group P4mm (No. 99)
One atom of each set of equivalent atoms:
In 0.0000 0.0000 0.0000 [1 per cell]  4 Te 3.26, 8 In 3.40
In 0.5000 0.5000 0.2354 [1 per cell]  4 Sb 3.25, 8 In 3.40
Sb 0.0000 0.0000 0.4498 [1 per cell]  4 In 3.25, 4 Sb 3.40
Te 0.5000 0.5000 0.7850 [1 per cell]  4 In 3.26, 4 Te 3.40

Record 11
The following is a PBE calculation of crystalline Ba6AsN2 at its relaxed geometry, from Alexandria via LeMat-Bulk.

Results
ΔE_f (raw): -404 kJ/mol of formula units
total magnetic moment: 0.814 μB/f.u.
total energy: -74.1 eV for the cell shown

Unit cell a=15.6098 b=5.1850 c=10.0081 alpha=90.00 beta=105.27 gamma=90.00
Last column: nearest neighbours and their distance in Å.
Space group C2/m (No. 12)
One atom of each set of equivalent atoms:
Ba 0.1038 0.0000 0.2259 [4 per cell]  1 N 2.52
Ba 0.1358 0.5000 0.5931 [4 per cell]  1 N 2.65
Ba 0.1943 0.0000 0.8791 [4 per cell]  3 N 2.71-2.80
As 0.0000 0.0000 0.5000 [2 per cell]  6 Ba 3.32-3.53
N 0.2490 0.0000 0.1594 [4 per cell]  5 Ba 2.52-2.80

Record 12
The following is a PBE calculation of crystalline CsLi4Ce3Br12 at its relaxed geometry, from Alexandria via LeMat-Bulk.

Results
ΔE_f (raw): -3067 kJ/mol of formula units
total magnetic moment: 5.000 μB/f.u.
total energy: -234.5 eV for the cell shown

Unit cell a=15.8681 b=15.8681 c=10.3017 alpha=90.00 beta=90.00 gamma=120.00
Last column: nearest neighbours and their distance in Å.
Space group R32 (No. 155, hexagonal axes)
One atom of each set of equivalent atoms:
Cs 0.0000 0.0000 0.0000 [3 per cell]  6 Br 3.78
Li 0.0000 0.0000 0.5000 [3 per cell]  3 Br 2.44
Li 0.0000 0.4184 0.5000 [9 per cell]  3 Br 2.47-2.53
Ce 0.0000 0.5757 0.0000 [9 per cell]  6 Br 2.97-3.01
Br 0.0000 0.5777 0.5000 [9 per cell]  1 Li 2.53
Br 0.0000 0.8462 0.5000 [9 per cell]  1 Li 2.44
Br 0.0633 0.2346 0.1718 [18 per cell]  1 Li 2.47

- What is the formula in the second record?
  MnPbBr2